Computed, not measured: a relaxed structure of GdGa2PdAu at the GGA-PBE level of DFT. Values from VASP.

Summary:
**E_tot**: -45.4 eV for the cell shown

```
&SYSTEM
  ibrav = 0, nat = 10, ntyp = 4
/
ATOMIC_SPECIES
Gd 157.25 Gd.upf
Ga 69.72 Ga.upf
Pd 106.42 Pd.upf
Au 196.97 Au.upf
CELL_PARAMETERS angstrom
4.3090 0.0000 0.0000
0.0000 4.3090 0.0000
0.0000 0.0000 10.5401
ATOMIC_POSITIONS angstrom
Gd 1.0773 1.0773 2.5151
Gd 3.2318 3.2318 8.0250
Ga 1.0773 1.0773 6.7615
Ga 1.0773 3.2318 0.0000
Ga 3.2318 1.0773 0.0000
Ga 3.2318 3.2318 3.7786
Pd 1.0773 1.0773 9.1865
Pd 3.2318 3.2318 1.3536
Au 1.0773 3.2318 5.2701
Au 3.2318 1.0773 5.2701
```